Crystalline BaCa2Cr at its relaxed geometry. Source: the Alexandria database, functional PBE.

Values from the calculation:
DOS(E_F): 1.30 states/eV per atom
Formation enthalpy at 0 K: 474 meV/atom
Calculated density: 2.90 g cm⁻³
Symmetry: P4/mmm (123)
Magnetic moment: 4.9 μB per cell
E: -3.414 eV/atom
E above lowest polymorph: 0.087 eV/atom

a b c (Å): 5.1666 5.1666 5.7713
angles (deg): 90.00 90.00 90.00
Sites, in units of the cell vectors:
Ba (0.0000, 0.0000, 0.0000)
Ca (0.0000, 0.5000, 0.5000)
Ca (0.5000, 0.0000, 0.5000)
Cr (0.5000, 0.5000, 0.0000)

***

Crystalline BaCa2Cr at its relaxed geometry. Source: the Alexandria database, functional PBE.

Values from the calculation:
DOS(E_F): 1.35 states/eV per atom
Formation enthalpy at 0 K: 959 meV/atom
Calculated density: 2.07 g cm⁻³
Symmetry: I-42d (122)
Magnetic moment: 9.6 μB per cell
E: -2.929 eV/atom
E above lowest polymorph: 0.573 eV/atom

a b c (Å): 10.6429 10.6429 10.6429
angles (deg): 143.04 143.04 53.27
Sites, in units of the cell vectors:
Ba (0.0000, 0.0000, 0.0000)
Ba (0.7500, 0.2500, 0.5000)
Ca (0.3738, 0.6250, 0.2488)
Ca (0.3750, 0.6238, 0.7488)
Ca (0.3762, 0.1250, 0.7512)
Ca (0.8750, 0.6262, 0.2512)
Cr (0.2500, 0.7500, 0.5000)
Cr (0.5000, 0.5000, 0.0000)

***

Crystalline BaCa2Cr at its relaxed geometry. Source: the Alexandria database, functional PBE.

Values from the calculation:
DOS(E_F): 1.32 states/eV per atom
Formation enthalpy at 0 K: 456 meV/atom
Calculated density: 2.99 g cm⁻³
Symmetry: F-43m (216)
Magnetic moment: 5.3 μB per cell
E: -3.432 eV/atom
E above lowest polymorph: 0.069 eV/atom

a b c (Å): 5.9622 5.9622 5.9622
angles (deg): 60.00 60.00 60.00
Sites, in units of the cell vectors:
Ba (0.0000, 0.0000, 0.0000)
Ca (0.5000, 0.5000, 0.5000)
Ca (0.7500, 0.7500, 0.7500)
Cr (0.2500, 0.2500, 0.2500)

***

Crystalline BaCa2Cr at its relaxed geometry. Source: the Alexandria database, functional PBE.

Values from the calculation:
DOS(E_F): 0.90 states/eV per atom
Formation enthalpy at 0 K: 507 meV/atom
Calculated density: 2.81 g cm⁻³
Symmetry: R-3m (166)
Magnetic moment: 4.3 μB per cell
E: -3.380 eV/atom
E above lowest polymorph: 0.121 eV/atom

a b c (Å): 11.6322 11.6322 11.6322
angles (deg): 19.87 19.87 19.87
Sites, in units of the cell vectors:
Ba (0.0000, 0.0000, 0.0000)
Ca (0.2305, 0.2305, 0.2305)
Ca (0.7695, 0.7695, 0.7695)
Cr (0.5000, 0.5000, 0.5000)

***

Which of these has the lowest E above lowest polymorph?
number 3